First-principles (PBE-GGA) data for a relaxed PrZrGaCu crystal, as listed in Alexandria via LeMat-Bulk.

Lattice parameters (Å, degrees): 4.955 4.955 4.955 60.00 60.00 60.00
Each line ends with the local moment (μB).
Fractional positions:
Pr 0.000 0.000 0.000  0.07
Cu 0.250 0.250 0.250  0.02
Ga 0.750 0.750 0.750  -0.01
Zr 0.500 0.500 0.500  0.19

Results
crystal system = cubic
space-group type = F-43m, No. 216

=====

First-principles (PBE-GGA) data for a relaxed Pa3BPb crystal, as listed in Alexandria via LeMat-Bulk.

Lattice parameters (Å, degrees): 4.916 4.916 4.916 90.00 90.00 90.00
Fractional positions:
Pb 0.500 0.500 0.500
B 0.000 0.000 0.000
Pa 0.000 0.500 0.000
Pa 0.000 0.000 0.500
Pa 0.500 0.000 0.000

Results
crystal system = cubic
space-group type = Pm-3m, No. 221

=====

First-principles (PBE-GGA) data for a relaxed BeRuSe2 crystal, as listed in Alexandria via LeMat-Bulk.

Lattice parameters (Å, degrees): 7.891 7.891 7.891 22.93 22.93 22.93
Fractional positions:
Ru 0.000 0.000 0.000
Se 0.897 0.897 0.897
Se 0.103 0.103 0.103
Be 0.500 0.500 0.500

Results
crystal system = trigonal
space-group type = R-3m, No. 166
ΔE_f (raw) = 0.23 eV per atom

=====

First-principles (PBE-GGA) data for a relaxed Ho3Mn2Ga9 crystal, as listed in Alexandria via LeMat-Bulk.

Lattice parameters (Å, degrees): 4.207 8.160 8.160 70.75 75.06 75.06
Each line ends with the local moment (μB).
Fractional positions:
Ho 0.000 0.000 0.000  -0.12
Ho 0.701 0.299 0.299  -0.10
Ho 0.299 0.701 0.701  -0.10
Mn 0.500 0.325 0.675  2.83
Mn 0.500 0.675 0.325  2.83
Ga 0.000 0.500 0.500  -0.08
Ga 0.652 0.984 0.711  -0.03
Ga 0.348 0.016 0.289  -0.03
Ga 0.652 0.711 0.984  -0.03
Ga 0.348 0.289 0.016  -0.03
Ga 0.865 0.850 0.420  -0.03
Ga 0.135 0.150 0.580  -0.03
Ga 0.865 0.420 0.850  -0.03
Ga 0.135 0.580 0.150  -0.03

Results
crystal system = orthorhombic
space-group type = Immm, No. 71

=====

Number 1: DFT total energy -5.32 eV per atom, total magnetic moment 0.45 μB/cell. Number 2: DFT total energy -7.81 eV per atom, total magnetic moment 0.00 μB/cell. Number 3: DFT total energy -4.77 eV per atom, total magnetic moment 0.00 μB/cell. Number 4: DFT total energy -4.69 eV per atom, total magnetic moment 5.09 μB/cell.